Entry 1:
A plane-wave DFT calculation with PBE-GGA was carried out for a relaxed LiCeTm2Tl4 crystal.

Output
- symmetry = R-3m, No. 166
- energy (eV per atom) = -3.5533
- DOS(E_F) (states/eV per cell) = 9.226
- E_form (eV per atom) = -0.27

a b c (Å): 5.2265 5.2265 9.4467
angles (deg): 73.94 73.94 60.00
With the nearest neighbours (Å) after each atom.
Fractional coordinates of all 8 atoms:
Li1 0.5000 0.5000 0.5000  8 Tl 3.19-3.24
Ce1 0.0000 0.0000 0.0000  8 Tl 3.26-3.45
Tm1 0.7546 0.7546 0.7363  7 Tl 3.14-3.22
Tm2 0.2454 0.2454 0.2637  7 Tl 3.14-3.22
Tl1 0.3793 0.3793 0.8621  4 Tm 3.22-3.60, 1 Li 3.24, 3 Ce 3.26
Tl2 0.8714 0.8714 0.3857  4 Tm 3.14-3.21, 3 Li 3.19, 1 Ce 3.45
Tl3 0.1286 0.1286 0.6143  4 Tm 3.14-3.21, 3 Li 3.19, 1 Ce 3.45
Tl4 0.6207 0.6207 0.1379  4 Tm 3.22-3.60, 1 Li 3.24, 3 Ce 3.26

***

Entry 2:
A plane-wave DFT calculation with PBE-GGA was carried out for a relaxed Li2CeTmTl4 crystal.

Output
- symmetry = R-3m, No. 166
- energy (eV per atom) = -3.2351
- DOS(E_F) (states/eV per cell) = 7.108
- E_form (eV per atom) = -0.27

a b c (Å): 5.2073 5.2073 9.0890
angles (deg): 73.35 73.35 60.00
With the nearest neighbours (Å) after each atom.
Fractional coordinates of all 8 atoms:
Li1 0.7516 0.7516 0.7452  8 Tl 3.13-3.34
Li2 0.2484 0.2484 0.2548  8 Tl 3.13-3.34
Ce1 0.0000 0.0000 0.0000  8 Tl 3.22-3.26
Tm1 0.5000 0.5000 0.5000  8 Tl 3.14-3.18
Tl1 0.3780 0.3780 0.8659  1 Tm 3.14, 4 Li 3.18-3.34, 3 Ce 3.22
Tl2 0.8732 0.8732 0.3805  4 Li 3.13-3.19, 3 Tm 3.18, 1 Ce 3.26
Tl3 0.1268 0.1268 0.6195  4 Li 3.13-3.19, 3 Tm 3.18, 1 Ce 3.26
Tl4 0.6220 0.6220 0.1341  1 Tm 3.14, 4 Li 3.18-3.34, 3 Ce 3.22

***

Entry 3:
A plane-wave DFT calculation with PBE-GGA was carried out for a relaxed LiCeYTl crystal.

Output
- symmetry = F-43m, No. 216
- energy (eV per atom) = -4.2664
- DOS(E_F) (states/eV per cell) = 10.997
- E_form (eV per atom) = -0.10

a b c (Å): 5.3698 5.3698 5.3698
angles (deg): 60.00 60.00 60.00
With the nearest neighbours (Å) after each atom.
Fractional coordinates of all 4 atoms:
Y1 0.7500 0.7500 0.7500  4 Tl 3.29, 4 Li 3.29
Tl1 0.5000 0.5000 0.5000  4 Ce 3.29, 4 Y 3.29
Ce1 0.2500 0.2500 0.2500  4 Tl 3.29, 4 Li 3.29
Li1 0.0000 0.0000 0.0000  4 Ce 3.29, 4 Y 3.29

***

Entry 4:
A plane-wave DFT calculation with PBE-GGA was carried out for a relaxed Li2Ce2YTl2 crystal.

Output
- symmetry = R-3m, No. 166
- energy (eV per atom) = -4.0278
- DOS(E_F) (states/eV per cell) = 9.455
- E_form (eV per atom) = -0.19

a b c (Å): 4.6414 4.6414 9.4497
angles (deg): 75.78 75.78 60.00
With the nearest neighbours (Å) after each atom.
Fractional coordinates of all 7 atoms:
Li1 0.5898 0.5898 0.2305  3 Tl 2.69
Li2 0.4102 0.4102 0.7695  3 Tl 2.69
Ce1 0.1438 0.1438 0.5686  3 Ce 2.95, 3 Li 3.24
Ce2 0.8562 0.8562 0.4314  3 Ce 2.95, 3 Li 3.24
Y1 0.0000 0.0000 0.0000  6 Tl 3.24, 6 Li 3.40
Tl1 0.7339 0.7339 0.7983  3 Li 2.69
Tl2 0.2661 0.2661 0.2017  3 Li 2.69